# 1
A plane-wave DFT calculation with GGA-PBE was carried out for a geometry-optimized CaFePCl2 structure.

Values from the calculation:
Excess energy over the best structure of this formula in the dataset, kcal/mol of atoms: 14.737
Raw formation energy, meV/atom: 30
Crystal system: tetragonal
DOS at the Fermi energy, states/eV/f.u.: 6.8
Raw total energy, eV/atom: -3.88
Symmetry: No. 123

Cell: 5.104 5.104 5.919 Å, 90.00 90.00 90.00°
Atoms (fractional coordinates):
P 0.000 0.000 0.500
Cl 0.000 0.500 0.000
Ca 0.000 0.000 0.000
Fe 0.500 0.500 0.500
Cl 0.500 0.000 0.000

---

# 2
A plane-wave DFT calculation with GGA-PBE was carried out for a geometry-optimized CaFePCl2 structure.

Values from the calculation:
Excess energy over the best structure of this formula in the dataset, kcal/mol of atoms: 0.000
Raw formation energy, meV/atom: -609
Crystal system: tetragonal
DOS at the Fermi energy, states/eV/f.u.: 5.3
Raw total energy, eV/atom: -4.52
Symmetry: No. 123

Cell: 4.794 4.351 4.794 Å, 90.00 90.00 90.00°
Atoms (fractional coordinates):
P 0.000 0.500 0.000
Cl 0.000 0.000 0.500
Cl 0.500 0.000 0.000
Fe 0.000 0.000 0.000
Ca 0.500 0.500 0.500

---

# 3
A plane-wave DFT calculation with GGA-PBE was carried out for a geometry-optimized Ca2FePbCl8 structure.

Values from the calculation:
Raw formation energy, meV/atom: -1619
Crystal system: monoclinic
DOS at the Fermi energy, states/eV/f.u.: 6.4
Raw total energy, eV/atom: -4.20
Symmetry: No. 10

Cell: 6.458 6.253 8.309 Å, 90.00 90.00 89.42°
Atoms (fractional coordinates):
Cl 0.833 0.214 0.784
Cl 0.167 0.786 0.216
Ca 0.500 0.500 0.763
Fe 0.000 0.000 0.000
Cl 0.167 0.786 0.784
Cl 0.345 0.286 0.500
Cl 0.691 0.735 0.000
Pb 0.000 0.000 0.500
Ca 0.500 0.500 0.237
Cl 0.655 0.714 0.500
Cl 0.833 0.214 0.216
Cl 0.309 0.265 0.000

---

# 4
A plane-wave DFT calculation with GGA-PBE was carried out for a geometry-optimized CaFePbCl6 structure.

Values from the calculation:
Raw formation energy, meV/atom: -1258
Crystal system: trigonal
Raw total energy, eV/atom: -4.06
Symmetry: No. 163

Cell: 6.648 6.648 12.288 Å, 90.00 90.00 120.00°
Atoms (fractional coordinates):
Cl 0.957 0.616 0.363
Cl 0.341 0.384 0.863
Pb 0.000 0.000 0.500
Cl 0.616 0.659 0.637
Fe 0.667 0.333 0.250
Cl 0.043 0.384 0.637
Cl 0.616 0.957 0.863
Fe 0.333 0.667 0.750
Cl 0.384 0.341 0.363
Cl 0.957 0.341 0.137
Cl 0.043 0.659 0.863
Cl 0.659 0.616 0.137
Ca 0.333 0.667 0.250
Cl 0.341 0.957 0.637
Ca 0.667 0.333 0.750
Cl 0.384 0.043 0.137
Cl 0.659 0.043 0.363
Pb 0.000 0.000 0.000

---

# 5
A plane-wave DFT calculation with GGA-PBE was carried out for a geometry-optimized Rb3CaFe2Cl9 structure.

Values from the calculation:
Raw formation energy, meV/atom: -1532
Crystal system: trigonal
DOS at the Fermi energy, states/eV/f.u.: 9.6
Raw total energy, eV/atom: -4.10
Symmetry: No. 164

Cell: 7.231 7.231 8.888 Å, 90.00 90.00 120.00°
Atoms (fractional coordinates):
Cl 0.500 0.500 0.000
Rb 0.667 0.333 0.329
Rb 0.333 0.667 0.671
Fe 0.333 0.667 0.152
Cl 0.349 0.174 0.679
Cl 0.174 0.349 0.321
Rb 0.000 0.000 0.000
Fe 0.667 0.333 0.848
Cl 0.826 0.174 0.679
Cl 0.651 0.826 0.321
Cl 0.174 0.826 0.321
Cl 0.000 0.500 0.000
Ca 0.000 0.000 0.500
Cl 0.826 0.651 0.679
Cl 0.500 0.000 0.000

---

# 6
A plane-wave DFT calculation with GGA-PBE was carried out for a geometry-optimized RbCaFeCl5 structure.

Values from the calculation:
Raw formation energy, meV/atom: -1657
Crystal system: monoclinic
DOS at the Fermi energy, states/eV/f.u.: 7.2
Raw total energy, eV/atom: -4.24
Symmetry: No. 15

Cell: 7.615 7.615 9.914 Å, 103.77 103.77 106.31°
Atoms (fractional coordinates):
Cl 0.316 0.898 0.618
Cl 0.922 0.078 0.750
Rb 0.659 0.341 0.750
Cl 0.752 0.611 0.423
Cl 0.611 0.752 0.923
Fe 0.315 0.685 0.750
Cl 0.898 0.316 0.118
Cl 0.078 0.922 0.250
Fe 0.685 0.315 0.250
Cl 0.389 0.248 0.077
Cl 0.248 0.389 0.577
Rb 0.341 0.659 0.250
Cl 0.684 0.102 0.382
Ca 0.000 0.000 0.000
Ca 0.000 0.000 0.500
Cl 0.102 0.684 0.882

---

# 7
A plane-wave DFT calculation with GGA-PBE was carried out for a geometry-optimized RbCaFe2Cl8 structure.

Values from the calculation:
Raw formation energy, meV/atom: -1385
Crystal system: monoclinic
DOS at the Fermi energy, states/eV/f.u.: 9.3
Raw total energy, eV/atom: -4.27
Symmetry: No. 12

Cell: 6.583 6.583 9.844 Å, 85.71 85.71 68.53°
Atoms (fractional coordinates):
Ca 0.000 0.000 0.000
Fe 0.381 0.381 0.784
Cl 0.301 0.301 0.586
Cl 0.743 0.246 0.210
Cl 0.754 0.257 0.790
Fe 0.619 0.619 0.216
Cl 0.699 0.699 0.414
Cl 0.254 0.254 0.977
Cl 0.246 0.743 0.210
Cl 0.746 0.746 0.023
Cl 0.257 0.754 0.790
Rb 0.000 0.000 0.500

---

# 8
A plane-wave DFT calculation with GGA-PBE was carried out for a geometry-optimized CaFeS2Cl structure.

Values from the calculation:
Excess energy over the best structure of this formula in the dataset, kcal/mol of atoms: 23.437
Raw formation energy, meV/atom: 150
Crystal system: tetragonal
DOS at the Fermi energy, states/eV/f.u.: 7.2
Raw total energy, eV/atom: -3.96
Symmetry: No. 123

Cell: 5.251 5.251 5.060 Å, 90.00 90.00 90.00°
Atoms (fractional coordinates):
S 0.500 0.000 0.000
S 0.000 0.500 0.000
Ca 0.000 0.000 0.000
Fe 0.500 0.500 0.500
Cl 0.000 0.000 0.500

---

# 9
A plane-wave DFT calculation with GGA-PBE was carried out for a geometry-optimized CaFeS2Cl structure.

Values from the calculation:
Excess energy over the best structure of this formula in the dataset, kcal/mol of atoms: 0.000
Raw formation energy, meV/atom: -866
Crystal system: tetragonal
DOS at the Fermi energy, states/eV/f.u.: 4.1
Raw total energy, eV/atom: -4.98
Symmetry: No. 123

Cell: 4.567 4.567 4.896 Å, 90.00 90.00 90.00°
Atoms (fractional coordinates):
S 0.500 0.000 0.000
Ca 0.500 0.500 0.500
Cl 0.000 0.000 0.500
S 0.000 0.500 0.000
Fe 0.000 0.000 0.000

---

# 10
A plane-wave DFT calculation with GGA-PBE was carried out for a geometry-optimized Sr2CaFeCl structure.

Values from the calculation:
Raw formation energy, meV/atom: 197
Crystal system: tetragonal
DOS at the Fermi energy, states/eV/f.u.: 6.2
Raw total energy, eV/atom: -2.94
Symmetry: No. 123

Cell: 6.450 4.184 6.450 Å, 90.00 90.00 90.00°
Atoms (fractional coordinates):
Fe 0.000 0.000 0.000
Ca 0.500 0.500 0.500
Cl 0.000 0.500 0.000
Sr 0.000 0.000 0.500
Sr 0.500 0.000 0.000

---

# 11
A plane-wave DFT calculation with GGA-PBE was carried out for a geometry-optimized SrCaFe2Cl8 structure.

Values from the calculation:
Raw formation energy, meV/atom: -1462
Crystal system: trigonal
DOS at the Fermi energy, states/eV/f.u.: 13.6
Raw total energy, eV/atom: -4.41
Symmetry: No. 164

Cell: 7.338 7.338 8.167 Å, 90.00 90.00 120.00°
Atoms (fractional coordinates):
Cl 0.840 0.159 0.272
Fe 0.667 0.333 0.179
Ca 0.000 0.000 0.500
Cl 0.159 0.320 0.728
Cl 0.841 0.680 0.272
Cl 0.320 0.160 0.272
Cl 0.333 0.667 0.091
Fe 0.333 0.667 0.821
Cl 0.680 0.840 0.728
Sr 0.000 0.000 0.000
Cl 0.160 0.841 0.728
Cl 0.667 0.333 0.909

---

# 12
A plane-wave DFT calculation with GGA-PBE was carried out for a geometry-optimized CaTi2FeCl structure.

Values from the calculation:
Raw formation energy, meV/atom: 223
Crystal system: tetragonal
DOS at the Fermi energy, states/eV/f.u.: 5.4
Raw total energy, eV/atom: -5.40
Symmetry: No. 123

Cell: 4.274 7.093 4.274 Å, 90.00 90.00 90.00°
Atoms (fractional coordinates):
Fe 0.000 0.000 0.000
Cl 0.000 0.500 0.000
Ti 0.000 0.000 0.500
Ca 0.500 0.500 0.500
Ti 0.500 0.000 0.000

---

Which value of raw formation energy does entry 4 give? -1258 meV/atom

---

What did the tenth record say?
A plane-wave DFT calculation with GGA-PBE was carried out for a geometry-optimized Sr2CaFeCl structure.

Values from the calculation:
Raw formation energy, meV/atom: 197
Crystal system: tetragonal
DOS at the Fermi energy, states/eV/f.u.: 6.2
Raw total energy, eV/atom: -2.94
Symmetry: No. 123

Cell: 6.450 4.184 6.450 Å, 90.00 90.00 90.00°
Atoms (fractional coordinates):
Fe 0.000 0.000 0.000
Ca 0.500 0.500 0.500
Cl 0.000 0.500 0.000
Sr 0.000 0.000 0.500
Sr 0.500 0.000 0.000

---

Look up the raw formation energy of the sixth one. -1657 meV/atom